No. 1
CoOsAu2: optimized geometry, GGA-PBEsol.

Geometry as POSCAR:
```
CoOsAu2
1.0
2.731 0.000 0.000
0.000 2.730 0.000
0.000 0.000 7.767
Os Au Co
1 2 1
direct
0.500 0.500 0.714
0.000 0.000 0.988
0.500 0.500 0.275
0.000 0.000 0.523
```

The value obtained for the size of the total moment is 0.00 μB per formula unit. The energy relative to the elements comes out at 0.25 eV per atom. As for the symmetry: P4mm, No. 99. The calculation puts the calculated volume at 14.48 Å³/atom. The energy above the most stable polymorph in this dataset comes out at 0 meV per atom.

No. 2
Ga2Tc2Ge: optimized geometry, GGA-PBEsol.

Geometry as POSCAR:
```
Ga2Tc2Ge
1.0
-2.691 -0.501 2.154
4.104 -2.172 4.622
0.678 6.109 2.268
Tc Ge Ga
4 2 4
direct
0.000 0.657 0.157
0.000 0.843 0.657
0.000 0.157 0.343
0.000 0.343 0.843
0.000 0.000 0.000
0.000 0.500 0.500
0.500 0.856 0.356
0.500 0.356 0.144
0.500 0.144 0.644
0.500 0.644 0.856
```

The value obtained for the size of the total moment is 0.00 μB per formula unit. The energy relative to the elements comes out at -0.13 eV per atom. As for the symmetry: P4/mbm, No. 127. The calculation puts the calculated volume at 14.95 Å³/atom.

No. 3
BaRh3I: optimized geometry, GGA-PBEsol.

Geometry as POSCAR:
```
BaRh3I
1.0
-4.241 1.546 -1.907
1.858 -0.467 -4.511
-1.605 -4.627 -0.182
Ba Rh I
1 3 1
direct
0.500 0.500 0.500
0.000 0.000 0.500
0.000 0.500 0.000
0.500 0.000 0.000
0.000 0.000 0.000
```

The value obtained for the size of the total moment is 0.00 μB per formula unit. As for the symmetry: Pm-3m, No. 221. Its uncorrected formation energy is 0.47 eV/atom. The calculation puts the calculated volume at 23.54 Å³/atom.

No. 4
Ba2LaP: optimized geometry, GGA-PBEsol.

Geometry as POSCAR:
```
Ba2LaP
1.0
5.509 0.000 0.000
2.755 4.771 0.000
2.755 1.590 4.498
Ba La P
2 1 1
direct
0.000 0.000 0.000
0.750 0.750 0.750
0.500 0.500 0.500
0.250 0.250 0.250
```

The value obtained for the size of the total moment is 0.00 μB per formula unit. The energy relative to the elements comes out at -0.04 eV per atom. As for the symmetry: F-43m, No. 216. The calculation puts the calculated volume at 29.56 Å³/atom.

No. 5
SrTc2Ir: optimized geometry, GGA-PBEsol.

Geometry as POSCAR:
```
SrTc2Ir
1.0
-0.091 -2.977 0.255
4.507 1.177 -2.175
1.073 0.419 5.280
Tc Ir Sr
2 1 1
direct
0.279 0.558 0.351
0.721 0.442 0.649
0.000 0.000 0.500
0.500 0.000 0.000
```

The value obtained for the size of the total moment is 0.00 μB per formula unit. The energy relative to the elements comes out at 0.52 eV per atom. As for the symmetry: C2/m, No. 12. The calculation puts the calculated volume at 19.32 Å³/atom. The energy above the most stable polymorph in this dataset comes out at 0 meV per atom.

No. 6
CdHg2Sb: optimized geometry, GGA-PBEsol.

Geometry as POSCAR:
```
CdHg2Sb
1.0
-2.522 3.084 -1.546
-2.593 -3.159 -1.450
-2.657 0.101 4.534
Hg Cd Sb
2 1 1
direct
0.256 0.244 0.000
0.744 0.756 0.000
0.500 0.000 0.500
0.000 0.500 0.500
```

The value obtained for the size of the total moment is 0.00 μB per formula unit. As for the symmetry: P2/m, No. 10. Its uncorrected formation energy is 0.03 eV/atom. The calculation puts the calculated volume at 24.32 Å³/atom. The energy above the most stable polymorph in this dataset comes out at 0 meV per atom.

No. 7
Mn2CoPt: optimized geometry, GGA-PBEsol.

Geometry as POSCAR:
```
Mn2CoPt
1.0
-0.629 1.897 1.627
-0.251 -0.492 2.517
7.669 2.146 2.503
Pt Co Mn
1 1 2
direct
0.500 0.500 0.501
0.256 0.256 0.233
0.001 0.001 0.997
0.744 0.744 0.769
```

The value obtained for the size of the total moment is 1.41 μB per formula unit. The energy relative to the elements comes out at 0.10 eV per atom. As for the symmetry: R3m, No. 160. The calculation puts the calculated volume at 11.81 Å³/atom.

No. 8
P3RuPb: optimized geometry, GGA-PBEsol.

Geometry as POSCAR:
```
P3RuPb
1.0
4.606 0.000 0.000
0.000 4.606 0.000
0.000 0.000 4.606
Ru P Pb
1 3 1
direct
0.000 0.000 0.000
0.000 0.000 0.500
0.500 0.000 0.000
0.000 0.500 0.000
0.500 0.500 0.500
```

The value obtained for the size of the total moment is 0.00 μB per formula unit. The energy relative to the elements comes out at 0.45 eV per atom. As for the symmetry: Pm-3m, No. 221. The calculation puts the calculated volume at 19.54 Å³/atom.

No. 9
ReAu3: optimized geometry, GGA-PBEsol.

Geometry as POSCAR:
```
ReAu3
1.0
2.699 0.000 0.012
0.000 4.809 0.000
-0.016 0.000 5.039
Re Au
1 3
direct
0.000 0.500 0.500
0.262 0.000 0.256
0.738 0.000 0.744
0.500 0.500 0.000
```

The value obtained for the size of the total moment is 0.00 μB per formula unit. The energy relative to the elements comes out at 0.49 eV per atom. As for the symmetry: P2/m, No. 10. The calculation puts the calculated volume at 16.35 Å³/atom.

No. 10
CrNi2Cl: optimized geometry, GGA-PBEsol.

Geometry as POSCAR:
```
CrNi2Cl
1.0
2.691 0.000 0.000
1.345 2.330 0.000
1.345 0.777 7.579
Cl Ni Cr
1 2 1
direct
0.507 0.507 0.480
0.998 0.998 0.007
0.748 0.748 0.755
0.247 0.247 0.258
```

The value obtained for the size of the total moment is 0.69 μB per formula unit. As for the symmetry: R3m, No. 160. Its uncorrected formation energy is 0.30 eV/atom. The calculation puts the calculated volume at 11.88 Å³/atom. The energy above the most stable polymorph in this dataset comes out at 0 meV per atom.

No. 11
K2CuRu: optimized geometry, GGA-PBEsol.

Geometry as POSCAR:
```
K2CuRu
1.0
5.309 0.000 0.000
2.654 4.597 0.000
2.654 1.532 4.334
Cu Ru K
1 1 2
direct
0.000 0.000 0.000
0.500 0.500 0.500
0.750 0.750 0.750
0.250 0.250 0.250
```

The value obtained for the size of the total moment is 2.33 μB per formula unit. The energy relative to the elements comes out at 1.58 eV per atom. As for the symmetry: Fm-3m, No. 225. The calculation puts the calculated volume at 26.45 Å³/atom. The energy above the most stable polymorph in this dataset comes out at 804 meV per atom.

No. 12
CdRu: optimized geometry, GGA-PBEsol.

Geometry as POSCAR:
```
CdRu
1.0
2.829 0.000 0.000
0.000 4.536 0.000
0.000 0.000 4.947
Ru Cd
2 2
direct
0.500 0.000 0.074
0.000 0.500 0.926
0.500 0.500 0.412
0.000 0.000 0.588
```

The value obtained for the size of the total moment is 0.00 μB per formula unit. The energy relative to the elements comes out at 0.42 eV per atom. As for the symmetry: Pmmn, No. 59. The calculation puts the calculated volume at 15.87 Å³/atom.